Entry 1:
Tl3GaAu4 | PBE-GGA | relaxed

```
Tl3GaAu4
1.0
6.687 -0.628 0.072
-3.840 5.510 -0.072
-2.689 -1.703 5.914
Tl Au Ga
3 4 1
Direct
0.588 0.256 0.843 Tl
0.588 0.744 0.332 Tl
0.902 0.000 0.902 Tl
0.045 0.752 0.292 Au
0.540 0.248 0.292 Au
0.204 0.743 0.947 Au
0.204 0.257 0.461 Au
0.082 0.500 0.582 Ga
```

- SG = No. 44
- calculated density (Mg/m³) = 11.96
- energy of formation from the pure elements (eV per atom) = -0.028

---

Entry 2:
YPbBr5 | PBE-GGA | relaxed

```
YPbBr5
1.0
4.288 0.000 0.000
0.000 8.461 -0.479
0.000 -0.102 13.894
Y Br Pb
2 10 2
Direct
0.250 0.415 0.353 Y
0.750 0.585 0.647 Y
0.250 0.362 0.143 Br
0.750 0.610 0.299 Br
0.250 0.390 0.701 Br
0.250 0.676 0.515 Br
0.250 0.851 0.072 Br
0.750 0.915 0.677 Br
0.750 0.638 0.857 Br
0.750 0.149 0.928 Br
0.750 0.324 0.485 Br
0.250 0.085 0.323 Br
0.750 0.093 0.140 Pb
0.250 0.907 0.860 Pb
```

- SG = No. 11
- calculated density (Mg/m³) = 4.58
- uncorrected formation energy (meV per atom) = -1426

---

Entry 3:
Tl2ReOs | PBE-GGA | relaxed

```
Tl2ReOs
1.0
4.861 0.002 0.001
3.912 2.886 0.001
0.966 0.318 5.262
Os Tl Re
1 2 1
Direct
0.750 0.750 0.750 Os
0.499 0.499 0.502 Tl
0.001 0.001 0.998 Tl
0.250 0.250 0.250 Re
```

- SG = No. 12
- polymorph energy (0 for the lowest one) (eV/f.u.) = 2.74
- calculated density (Mg/m³) = 17.68
- energy of formation from the pure elements (eV per atom) = 1.198